Record 1
DFT (GGA-PBE) results for a geometry-optimized NdMgZnAs2 structure.

The structure in POSCAR format:
```
NdMgZnAs2
1.0
-0.188 3.711 -2.127
-2.911 -3.048 -0.752
-4.163 2.717 5.107
Mg As Zn Nd
1 2 1 1
direct
0.000 0.000 0.369 Mg
0.000 0.000 0.738 As
0.333 0.667 0.253 As
0.333 0.667 0.641 Zn
0.667 0.333 0.999 Nd
```

Summary:
Its total energy is -4.14 eV per atom. For the density, the calculation gives 5.63 g/cm3.

***

Record 2
DFT (GGA-PBE) results for a geometry-optimized MgNiAsPt structure.

The structure in POSCAR format:
```
MgNiAsPt
1.0
0.000 3.106 3.106
3.106 0.000 3.106
3.106 3.106 0.000
Ni Mg Pt As
1 1 1 1
direct
0.750 0.750 0.750 Ni
0.500 0.500 0.500 Mg
0.250 0.250 0.250 Pt
0.000 0.000 0.000 As
```

Summary:
The calculation puts the energy relative to the lowest polymorph listed for this composition at 0.0 meV/atom. For the density, the calculation gives 9.78 g/cm3.

***

Record 3
DFT (GGA-PBE) results for a geometry-optimized MgScNiAs structure.

The structure in POSCAR format:
```
MgScNiAs
1.0
3.171 -3.273 -0.006
1.858 -1.380 3.926
-0.984 -4.129 1.659
As Ni Mg Sc
1 1 1 1
direct
0.000 0.000 0.000 As
0.750 0.750 0.750 Ni
0.250 0.250 0.250 Mg
0.500 0.500 0.500 Sc
```

Summary:
The calculation puts the energy relative to the lowest polymorph listed for this composition at 297.6 meV/atom. For the density, the calculation gives 5.03 g/cm3.

***

Record 4
DFT (GGA-PBE) results for a geometry-optimized MgScNiAs structure.

The structure in POSCAR format:
```
MgScNiAs
1.0
-4.538 -0.036 0.197
-2.337 3.816 -0.781
-2.442 0.429 -3.807
Ni Mg As Sc
1 1 1 1
direct
0.750 0.750 0.750 Ni
0.500 0.500 0.500 Mg
0.000 0.000 0.000 As
0.250 0.250 0.250 Sc
```

Summary:
The calculation puts the energy relative to the lowest polymorph listed for this composition at 236.0 meV/atom. For the density, the calculation gives 5.08 g/cm3.

***

Record 5
DFT (GGA-PBE) results for a geometry-optimized MgScNiAs structure.

The structure in POSCAR format:
```
MgScNiAs
1.0
0.000 3.228 3.228
3.228 0.000 3.228
3.228 3.228 0.000
As Mg Ni Sc
1 1 1 1
direct
0.250 0.250 0.250 As
0.500 0.500 0.500 Mg
0.750 0.750 0.750 Ni
0.000 0.000 0.000 Sc
```

Summary:
The calculation puts the energy relative to the lowest polymorph listed for this composition at 0.0 meV/atom. For the density, the calculation gives 5.01 g/cm3.

***

Record 6
DFT (GGA-PBE) results for a geometry-optimized MgTaNiAs structure.

The structure in POSCAR format:
```
MgTaNiAs
1.0
1.928 -0.567 3.966
-2.494 -0.213 3.675
-0.451 -3.860 2.160
Ni Ta Mg As
1 1 1 1
direct
0.750 0.750 0.750 Ni
0.250 0.250 0.250 Ta
0.500 0.500 0.500 Mg
0.000 0.000 0.000 As
```

Summary:
The calculation puts the energy relative to the lowest polymorph listed for this composition at 0.0 meV/atom. For the density, the calculation gives 9.05 g/cm3.

***

no.,magnetization (μB per formula unit)
1,0.01
2,0.00
3,0.00
4,0.01
5,0.00
6,0.04